# 1
# HoErMg, optimized geometry, DFT GGA-PBE
# **Symmetry**: Cmcm
# **Raw total energy**: -3.6189 eV per atom
# **Energy above the most stable polymorph in this dataset**: 0 meV/atom
# **Total moment**: 0.008 μB/atom
data_HoErMg
_symmetry_space_group_name_H-M 'P 1'
_symmetry_Int_Tables_number 1
_symmetry_space_group_name_Hall 'P 1'
_cell_length_a 8.844
_cell_length_b 8.844
_cell_length_c 5.442
_cell_angle_alpha 90.00
_cell_angle_beta 90.00
_cell_angle_gamma 156.61
loop_
_atom_site_label
_atom_site_fract_x
_atom_site_fract_y
_atom_site_fract_z
Er1 0.225 0.775 0.250
Er2 0.775 0.225 0.750
Ho1 0.902 0.098 0.250
Ho2 0.098 0.902 0.750
Mg1 0.563 0.437 0.250
Mg2 0.437 0.563 0.750

=====

# 2
# HoErMg2, optimized geometry, DFT GGA-PBE
# **Symmetry**: Amm2
# **Raw total energy**: -3.0407 eV per atom
# **Energy above the most stable polymorph in this dataset**: 85 meV/atom
# **Total moment**: 0.011 μB/atom
data_HoErMg2
_symmetry_space_group_name_H-M 'P 1'
_symmetry_Int_Tables_number 1
_symmetry_space_group_name_Hall 'P 1'
_cell_length_a 5.447
_cell_length_b 6.751
_cell_length_c 6.751
_cell_angle_alpha 61.38
_cell_angle_beta 90.00
_cell_angle_gamma 90.00
loop_
_atom_site_label
_atom_site_fract_x
_atom_site_fract_y
_atom_site_fract_z
Er1 0.000 0.330 0.330
Er2 0.500 0.667 0.667
Ho1 0.500 0.671 0.164
Ho2 0.500 0.164 0.671
Mg1 0.500 0.169 0.169
Mg2 0.000 0.835 0.328
Mg3 0.000 0.328 0.835
Mg4 0.000 0.836 0.836

=====

# 3
# HoEr2Mg5, optimized geometry, DFT GGA-PBE
# **Symmetry**: Amm2
# **Raw total energy**: -2.7308 eV per atom
# **Total moment**: 0.001 μB/atom
data_HoEr2Mg5
_symmetry_space_group_name_H-M 'P 1'
_symmetry_Int_Tables_number 1
_symmetry_space_group_name_Hall 'P 1'
_cell_length_a 5.176
_cell_length_b 6.482
_cell_length_c 6.482
_cell_angle_alpha 72.08
_cell_angle_beta 90.00
_cell_angle_gamma 90.00
loop_
_atom_site_label
_atom_site_fract_x
_atom_site_fract_y
_atom_site_fract_z
Er1 0.000 0.369 0.369
Er2 0.500 0.624 0.624
Ho1 0.000 0.880 0.880
Mg1 0.500 0.626 0.124
Mg2 0.500 0.127 0.127
Mg3 0.000 0.879 0.370
Mg4 0.500 0.124 0.626
Mg5 0.000 0.370 0.879

=====

# 4
# HoEr3Mg2, optimized geometry, DFT GGA-PBE
# **Symmetry**: Amm2
# **Raw total energy**: -3.6149 eV per atom
# **Total moment**: 0.002 μB/atom
data_HoEr3Mg2
_symmetry_space_group_name_H-M 'P 1'
_symmetry_Int_Tables_number 1
_symmetry_space_group_name_Hall 'P 1'
_cell_length_a 5.421
_cell_length_b 8.738
_cell_length_c 8.738
_cell_angle_alpha 23.97
_cell_angle_beta 90.00
_cell_angle_gamma 90.00
loop_
_atom_site_label
_atom_site_fract_x
_atom_site_fract_y
_atom_site_fract_z
Er1 0.500 0.094 0.094
Er2 0.000 0.226 0.226
Er3 0.000 0.906 0.906
Ho1 0.500 0.773 0.773
Mg1 0.500 0.435 0.435
Mg2 0.000 0.565 0.565